Entry 1:
3
Lattice="3.654 0.000 0.000 0.000 4.142 0.000 0.000 -2.071 3.587" Properties=species:S:1:pos:R:3 comment="PBE-GGA TiCuSb, relaxed" e_tot_ev_per_atom=-5.508 total_magnetization_mub_per_atom=0.000 pbc="T T T"
Cu 1.234 0.000 2.391
Ti 0.233 0.000 0.000
Sb 2.186 2.071 1.196

=====

Entry 2:
5
Lattice="-3.581 -0.615 -3.547 -1.873 -1.968 2.232 -2.375 4.163 1.677" Properties=species:S:1:pos:R:3 comment="PBE-GGA Zr2GaPC, relaxed" formation_enthalpy_0k_ev_per_atom=0.3705 total_magnetization_mub_per_atom=0.000 pbc="T T T"
P 0.000 0.000 0.000
Ga -3.915 0.790 0.181
Zr -1.790 -0.307 -1.773
Zr -1.188 2.081 0.838
C -0.937 -0.984 1.116

=====

Entry 3:
11
Lattice="4.349 0.000 0.000 0.000 8.381 0.000 0.000 -4.190 7.258" Properties=species:S:1:pos:R:3 comment="PBE-GGA Ac2Cd6Cu3, relaxed" formation_enthalpy_0k_ev_per_atom=-0.1513 total_magnetization_mub_per_atom=0.000 pbc="T T T"
Ac 0.000 4.190 2.419
Ac 0.000 0.000 4.839
Cu 2.175 1.621 2.807
Cu 2.175 5.139 0.000
Cu 2.175 -2.570 4.451
Cd 2.175 -1.232 2.134
Cd 0.000 6.688 0.000
Cd 2.175 2.958 5.124
Cd 0.000 0.847 1.466
Cd 0.000 -3.344 5.792
Cd 2.175 2.465 0.000

=====

Which formula does entry 1 have?
TiCuSb